Entry 1:
## AcEr7Tl4 (PBE)

Data for AcEr7Tl4 after structural relaxation.

The structure in extended XYZ format:
```
12
Lattice="7.2323 -2.9242 0.0000 7.2323 2.9242 0.0000 -5.7628 0.0000 8.6949" Properties=species:S:1:pos:R:3 pbc="T T T"
Ac 0.0000 0.0000 0.0000
Er -1.3963 0.0000 3.4480
Er -1.9875 0.0000 7.6332
Er 2.0791 0.0000 3.0406
Er 7.2323 0.0000 0.0000
Er 6.6226 0.0000 5.6542
Er 10.6893 0.0000 1.0617
Er 10.0981 0.0000 5.2469
Tl 0.6517 0.0000 5.8071
Tl 4.9190 0.0000 2.1096
Tl 3.7828 0.0000 6.5853
Tl 8.0501 0.0000 2.8878
```

Results
total moment	0.0000	μB/atom
total DFT energy (no corrections)	-3.75	eV per atom
E_form	0.045	eV per atom

***

Entry 2:
## Dy2TmAl (PBE)

Data for Dy2TmAl after structural relaxation.

The structure in extended XYZ format:
```
4
Lattice="1.7207 0.9934 11.4211 -1.7207 0.9934 11.4211 0.0000 -1.9869 11.4211" Properties=species:S:1:pos:R:3 pbc="T T T"
Dy 0.0000 0.0000 3.4116
Dy 0.0000 0.0000 30.8518
Tm 0.0000 0.0000 0.0000
Al 0.0000 0.0000 17.1317
```

Results
total moment	0.1875	μB/atom
total DFT energy (no corrections)	-4.23	eV per atom
offset from the most stable computed form	0.3218	eV per atom
E_form	0.123	eV per atom

***

Entry 3:
## PuHfPaTc (PBE)

Data for PuHfPaTc after structural relaxation.

The structure in extended XYZ format:
```
4
Lattice="0.0000 3.4459 3.4459 3.4459 0.0000 3.4459 3.4459 3.4459 0.0000" Properties=species:S:1:pos:R:3 pbc="T T T"
Pu 0.0000 0.0000 0.0000
Hf 5.1688 5.1688 5.1688
Pa 1.7229 1.7229 1.7229
Tc 3.4459 3.4459 3.4459
```

Results
total moment	1.5473	μB/atom
total DFT energy (no corrections)	-11.04	eV per atom
E_form	-0.005	eV per atom

***

Entry 4:
## RbNdSeI (PBE)

Data for RbNdSeI after structural relaxation.

The structure in extended XYZ format:
```
4
Lattice="3.7784 -2.1853 0.0000 3.7784 2.1853 0.0000 -2.5133 0.0000 8.7385" Properties=species:S:1:pos:R:3 pbc="T T T"
Rb 0.0000 0.0000 0.0000
Nd 5.0438 0.0000 3.7406
Se 2.5190 0.0000 2.1693
I 0.0072 0.0000 5.8792
```

Results
total moment	0.0000	μB/atom
total DFT energy (no corrections)	-4.07	eV per atom
E_form (uncorrected)	-1379	meV/atom

***

Entry 5:
## RuRh2Pb (PBE)

Data for RuRh2Pb after structural relaxation.

The structure in extended XYZ format:
```
4
Lattice="1.4684 0.8478 9.0363 -1.4684 0.8478 9.0363 0.0000 -1.6956 9.0363" Properties=species:S:1:pos:R:3 pbc="T T T"
Ru 0.0000 0.0000 0.0000
Rh 0.0000 0.0000 6.9589
Rh 0.0000 0.0000 20.1498
Pb 0.0000 0.0000 13.5544
```

Results
total moment	0.0000	μB/atom
total DFT energy (no corrections)	-6.50	eV per atom
E_form	0.419	eV per atom

***

Entry 6:
## BaAl2Cd (PBE)

Data for BaAl2Cd after structural relaxation.

The structure in extended XYZ format:
```
4
Lattice="2.3006 1.3282 6.3070 -2.3006 1.3282 6.3070 0.0000 -2.6565 6.3070" Properties=species:S:1:pos:R:3 pbc="T T T"
Ba 0.0000 0.0000 0.0000
Al 0.0000 0.0000 8.9997
Al 0.0000 0.0000 15.0043
Cd 0.0000 0.0000 3.9581
```

Results
total moment	0.0000	μB/atom
total DFT energy (no corrections)	-2.72	eV per atom
E_form	-0.143	eV per atom

***

Entry 7:
## CaTcSe3 (PBE)

Data for CaTcSe3 after structural relaxation.

The structure in extended XYZ format:
```
5
Lattice="5.3613 0.0000 0.0000 0.0000 5.3613 0.0000 0.0000 0.0000 5.3613" Properties=species:S:1:pos:R:3 pbc="T T T"
Ca 0.0000 0.0000 0.0000
Tc 2.6806 2.6806 2.6806
Se 0.0000 0.0000 2.6806
Se 0.0000 2.6806 0.0000
Se 2.6806 0.0000 0.0000
```

Results
total moment	0.6309	μB/atom
total DFT energy (no corrections)	-3.88	eV per atom
offset from the most stable computed form	1.1029	eV per atom
E_form (uncorrected)	686	meV/atom

***

Entry 8:
## AgB2Os (PBE)

Data for AgB2Os after structural relaxation.

The structure in extended XYZ format:
```
4
Lattice="0.0000 2.8062 2.8062 2.8062 0.0000 2.8062 2.8062 2.8062 0.0000" Properties=species:S:1:pos:R:3 pbc="T T T"
Ag 0.0000 0.0000 0.0000
B 1.4031 1.4031 1.4031
B 4.2093 4.2093 4.2093
Os 2.8062 2.8062 2.8062
```

Results
total moment	0.0000	μB/atom
total DFT energy (no corrections)	-5.80	eV per atom
offset from the most stable computed form	0.3074	eV per atom
E_form	1.055	eV per atom

***

Entry 9:
## TbReO6 (PBE)

Data for TbReO6 after structural relaxation.

The structure in extended XYZ format:
```
8
Lattice="2.8502 -3.2984 0.0000 2.8502 3.2984 0.0000 -0.8149 0.0000 4.9583" Properties=species:S:1:pos:R:3 pbc="T T T"
Tb 0.0000 0.0000 0.0000
Re 2.4428 0.0000 2.4791
O 1.8669 1.2599 1.1838
O 0.7156 0.0000 3.2466
O 3.0187 1.2599 3.7745
O 1.8669 -1.2599 1.1838
O 4.1700 0.0000 1.7117
O 3.0187 -1.2599 3.7745
```

Results
total moment	0.0000	μB/atom
total DFT energy (no corrections)	-7.49	eV per atom
E_form (uncorrected)	-1633	meV/atom